Entry 1:
An optimized crystal structure of ZnTeIr, computed with PBE.

```
6
Lattice="3.089 0.000 0.000 -1.544 3.641 0.000 0.000 0.000 11.142" Properties=species:S:1:pos:R:3 pbc="T T T"
Ir 0.000 3.042 0.000
Ir 0.000 3.363 5.571
Zn 1.544 1.885 4.171
Zn 1.544 1.885 6.971
Te 0.000 0.980 9.455
Te 0.000 0.980 1.687
```

## Properties
E_form (uncorrected), meV/atom: 251
Polymorph energy (0 for the lowest one), eV per atom: 0.330
ρ, g/cm³: 10.2
Crystal system: orthorhombic
Total DFT energy (no corrections), eV/atom: -4.174



Entry 2:
An optimized crystal structure of ZnTe3Ir, computed with PBE.

```
5
Lattice="5.093 0.000 0.000 0.000 5.093 0.000 0.000 0.000 5.093" Properties=species:S:1:pos:R:3 pbc="T T T"
Zn 0.000 0.000 0.000
Ir 2.547 2.547 2.547
Te 0.000 2.547 0.000
Te 0.000 0.000 2.547
Te 2.547 0.000 0.000
```

## Properties
E_form (uncorrected), meV/atom: 1216
Polymorph energy (0 for the lowest one), eV per atom: 0.638
ρ, g/cm³: 8.0
Crystal system: cubic
Total DFT energy (no corrections), eV/atom: -2.696



Entry 3:
An optimized crystal structure of Zn2Te2Ir, computed with PBE.

```
5
Lattice="-2.046 3.183 -1.173 -2.949 -0.992 2.452 0.777 5.276 6.269" Properties=species:S:1:pos:R:3 pbc="T T T"
Zn -1.998 1.733 1.498
Zn -2.220 5.734 6.050
Ir 0.000 0.000 0.000
Te -1.884 4.777 2.867
Te -2.335 2.690 4.680
```

## Properties
E_form (uncorrected), meV/atom: 919
Polymorph energy (0 for the lowest one), eV per atom: 0.544
ρ, g/cm³: 7.9
Crystal system: tetragonal
Total DFT energy (no corrections), eV/atom: -2.619



Entry 4:
An optimized crystal structure of ZrTeIr2, computed with PBE.

```
4
Lattice="-0.193 4.351 -2.428 -4.411 -1.196 3.238 0.466 1.556 2.572" Properties=species:S:1:pos:R:3 pbc="T T T"
Ir 0.000 0.000 0.000
Ir 0.137 2.954 0.072
Te -1.972 0.180 2.905
Zr -2.302 1.578 0.405
```

## Properties
E_form (uncorrected), meV/atom: -15
ρ, g/cm³: 13.8
Crystal system: monoclinic
Total DFT energy (no corrections), eV/atom: -7.368



Entry 5:
An optimized crystal structure of ZrTeIr, computed with PBE.

```
6
Lattice="-3.226 -2.718 -0.358 -1.790 -1.631 3.473 -8.375 6.470 1.303" Properties=species:S:1:pos:R:3 pbc="T T T"
Zr -5.567 -0.273 2.164
Zr -7.823 2.393 2.253
Te -2.809 -0.106 1.083
Te -10.581 2.226 3.334
Ir -8.353 -0.406 3.246
Ir -5.037 2.527 1.171
```

## Properties
E_form (uncorrected), meV/atom: -610
Polymorph energy (0 for the lowest one), eV per atom: 0.000
ρ, g/cm³: 8.5
Crystal system: trigonal
Total DFT energy (no corrections), eV/atom: -7.460



Entry 6:
An optimized crystal structure of Zr4TeIr, computed with PBE.

```
6
Lattice="0.000 3.989 3.989 3.989 0.000 3.989 3.989 3.989 0.000" Properties=species:S:1:pos:R:3 pbc="T T T"
Zr 2.995 4.983 4.983
Zr 4.983 4.983 2.995
Zr 4.983 2.995 4.983
Zr 2.995 2.995 2.995
Te 0.000 0.000 0.000
Ir 5.983 5.983 5.983
```

## Properties
E_form (uncorrected), meV/atom: 224
ρ, g/cm³: 9.0
Crystal system: cubic
Total DFT energy (no corrections), eV/atom: -7.475



Entry 7:
An optimized crystal structure of ZrTeIr2, computed with PBE.

```
4
Lattice="8.798 0.029 0.017 8.198 3.194 0.017 8.198 1.555 2.791" Properties=species:S:1:pos:R:3 pbc="T T T"
Ir 0.128 0.024 0.014
Ir 12.469 2.365 1.398
Te 6.298 1.195 0.706
Zr 18.895 3.584 2.119
```

## Properties
E_form (uncorrected), meV/atom: -7
ρ, g/cm³: 13.0
Crystal system: trigonal
Total DFT energy (no corrections), eV/atom: -7.360



Entry 8:
An optimized crystal structure of ZrTeIr, computed with PBE.

```
3
Lattice="6.119 0.033 -0.036 5.181 3.254 -0.035 0.937 0.271 3.210" Properties=species:S:1:pos:R:3 pbc="T T T"
Ir 1.158 0.335 3.140
Te 4.419 1.284 2.108
Zr 7.598 2.210 1.101
```

## Properties
E_form (uncorrected), meV/atom: -347
Polymorph energy (0 for the lowest one), eV per atom: 0.263
ρ, g/cm³: 10.8
Crystal system: tetragonal
Total DFT energy (no corrections), eV/atom: -7.197



Entry 9:
An optimized crystal structure of ZrTeIr2, computed with PBE.

```
8
Lattice="5.738 0.000 0.000 0.000 5.738 0.000 2.869 2.869 6.341" Properties=species:S:1:pos:R:3 pbc="T T T"
Ir 4.377 1.435 1.585
Ir 1.361 4.304 1.585
Ir 4.304 4.231 4.756
Ir 7.173 7.246 4.756
Te 0.000 0.000 0.000
Te 5.738 2.869 3.171
Zr 2.869 2.869 0.000
Zr 2.869 5.738 3.171
```

## Properties
E_form (uncorrected), meV/atom: 143
ρ, g/cm³: 9.6
Crystal system: tetragonal
Total DFT energy (no corrections), eV/atom: -7.210



Entry 10:
An optimized crystal structure of ZrTeIr2, computed with PBE.

```
4
Lattice="-0.039 -2.598 8.632 -1.634 -4.943 7.359 1.474 -4.996 7.357" Properties=species:S:1:pos:R:3 pbc="T T T"
Ir -0.199 -12.513 23.302
Ir -0.050 -3.133 5.835
Te -0.101 -6.344 11.815
Zr -0.149 -9.353 17.419
```

## Properties
E_form (uncorrected), meV/atom: 231
ρ, g/cm³: 13.5
Crystal system: trigonal
Total DFT energy (no corrections), eV/atom: -7.122



Entry 11:
An optimized crystal structure of ZrTeIr2, computed with PBE.

```
4
Lattice="3.916 0.000 0.000 0.000 3.657 -0.001 0.000 1.822 5.411" Properties=species:S:1:pos:R:3 pbc="T T T"
Ir 0.000 2.510 4.991
Ir 1.958 0.683 1.561
Te 0.000 2.510 2.369
Zr 1.958 4.338 4.604
```

## Properties
E_form (uncorrected), meV/atom: -266
ρ, g/cm³: 12.9
Crystal system: monoclinic
Total DFT energy (no corrections), eV/atom: -7.619



Entry 12:
An optimized crystal structure of ZrTeIr, computed with PBE.

```
3
Lattice="4.566 0.000 0.000 2.283 3.954 0.000 2.283 1.318 3.728" Properties=species:S:1:pos:R:3 pbc="T T T"
Ir 6.849 3.954 2.796
Te 0.000 0.000 0.000
Zr 4.566 2.636 1.864
```

## Properties
E_form (uncorrected), meV/atom: -528
Polymorph energy (0 for the lowest one), eV per atom: 0.082
ρ, g/cm³: 10.1
Crystal system: cubic
Total DFT energy (no corrections), eV/atom: -7.379